Model one:
6
Lattice="3.993 0.000 0.000 0.000 4.284 0.000 0.000 2.142 10.286" Properties=species:S:1:pos:R:3 comment="PBE-GGA PrSmGe, optimized geometry" crystal_system=orthorhombic magnetic_moment_mub_per_cell=0.00 pbc="T T T"
Ge 2.995 2.142 0.889
Ge 0.998 4.284 9.397
Pr 2.995 2.142 4.012
Pr 0.998 4.284 6.274
Sm 2.995 2.142 8.698
Sm 0.998 4.284 1.588

=====

Model two:
3
Lattice="-4.825 -0.532 1.414 -1.346 -3.839 3.003 -1.343 0.890 4.793" Properties=species:S:1:pos:R:3 comment="PBE-GGA PrSmGe, optimized geometry" crystal_system=cubic magnetic_moment_mub_per_cell=0.00 pbc="T T T"
Pr -3.757 -1.740 4.605
Ge -1.879 -0.870 2.303
Sm 0.000 0.000 0.000

=====

Model three:
3
Lattice="-4.081 0.513 -1.380 -0.424 -4.759 -0.515 -1.152 2.077 4.178" Properties=species:S:1:pos:R:3 comment="PBE-GGA PrSmGe, optimized geometry" crystal_system=trigonal magnetic_moment_mub_per_cell=0.00 pbc="T T T"
Pr -3.231 -2.158 0.182
Ge -2.058 -0.057 2.225
Sm -0.367 0.046 -0.124

=====

model two (43 meV/atom below the next structure)

=====

Model one:
6
Lattice="-3.590 0.604 -2.711 -1.880 -3.790 1.645 -1.014 6.033 6.483" Properties=species:S:1:pos:R:3 comment="PBE-GGA PrSmGe, optimized geometry" crystal_system=tetragonal magnetic_moment_mub_per_cell=0.37 pbc="T T T"
Pr -1.883 -0.185 0.553
Pr -4.600 3.032 4.864
Sm -1.447 1.121 4.064
Sm -2.302 3.318 1.886
Ge -4.983 -1.345 0.600
Ge -1.500 4.192 4.817

=====

Model two:
6
Lattice="-3.045 1.611 0.622 -2.443 -5.777 3.054 4.610 2.894 5.192" Properties=species:S:1:pos:R:3 comment="PBE-GGA PrSmGe, optimized geometry" crystal_system=triclinic magnetic_moment_mub_per_cell=0.00 pbc="T T T"
Pr -0.383 -1.218 3.646
Pr 0.956 -0.015 6.963
Sm 2.195 2.897 5.517
Sm -1.622 -4.131 5.092
Ge -0.584 1.732 4.796
Ge -1.887 -1.354 6.435

=====

model one (200 meV/atom below the next structure)

=====

Model one:
18
Lattice="-6.095 -3.628 3.432 8.564 -2.304 1.654 0.257 5.316 6.075" Properties=species:S:1:pos:R:3 comment="PBE-GGA Pr3Sm2Ge4, optimized geometry" crystal_system=monoclinic magnetic_moment_mub_per_cell=0.00 pbc="T T T"
Pr 4.410 1.506 3.864
Pr 1.234 -2.966 2.543
Pr -1.931 1.599 7.467
Pr 1.644 -3.304 6.238
Pr 4.657 -2.215 3.694
Pr 1.081 2.688 4.923
Sm -0.995 -0.601 4.167
Sm 0.716 -0.923 9.745
Sm 3.720 -0.015 6.994
Sm 2.009 0.307 1.416
Ge -3.777 -0.490 5.557
Ge 3.564 0.322 9.905
Ge 6.502 -0.126 5.603
Ge -0.838 -0.938 1.256
Ge -1.027 -3.714 4.629
Ge 0.641 -0.051 6.722
Ge 3.753 3.098 6.531
Ge 2.085 -0.565 4.439

=====

Model two:
9
Lattice="4.505 0.000 0.000 -2.252 5.837 -0.001 0.000 -1.580 9.746" Properties=species:S:1:pos:R:3 comment="PBE-GGA Pr3Sm2Ge4, optimized geometry" crystal_system=monoclinic magnetic_moment_mub_per_cell=0.15 pbc="T T T"
Pr 0.000 3.490 5.866
Pr 0.000 0.000 0.000
Pr 2.252 0.768 3.879
Sm 0.000 3.443 1.815
Sm 2.252 0.815 7.930
Ge 2.252 1.641 1.080
Ge 0.000 0.076 5.949
Ge 2.252 4.182 3.796
Ge 0.000 2.617 8.665

=====

model one (129 meV/atom below the next structure)